(1)
A geometry-optimized Er3MgP structure. Source: Alexandria via LeMat-Bulk, functional PBE.

Output
**Calculated formation energy**: -2.38 eV/f.u.
**M_tot**: 0.00 μB/cell
**Space group**: Pm-3m (221)
**E**: -4.6140 eV/atom
**Crystal system**: cubic

a b c (Å): 5.265 5.265 5.265
angles (deg): 90.00 90.00 90.00
Atoms (fractional coordinates):
Mg 0.500 0.500 0.500
Er 0.000 0.500 0.000
Er 0.500 0.000 0.000
Er 0.000 0.000 0.500
P 0.000 0.000 0.000

=====

(2)
A geometry-optimized ErMgP2Rh5 structure. Source: Alexandria via LeMat-Bulk, functional PBE.

Output
**Calculated formation energy**: -5.08 eV/f.u.
**M_tot**: 0.00 μB/cell
**Space group**: P4/mmm (123)
**E**: -6.5346 eV/atom
**Crystal system**: tetragonal

a b c (Å): 4.100 4.100 9.549
angles (deg): 90.00 90.00 90.00
Atoms (fractional coordinates):
Mg 0.000 0.000 0.000
Rh 0.000 0.500 0.170
Rh 0.500 0.000 0.170
Rh 0.500 0.500 0.500
Rh 0.000 0.500 0.830
Rh 0.500 0.000 0.830
Er 0.000 0.000 0.500
P 0.500 0.500 0.266
P 0.500 0.500 0.734

=====

(3)
A geometry-optimized Er6MgP2Se3 structure. Source: Alexandria via LeMat-Bulk, functional PBE.

Output
**M_tot**: 0.00 μB/cell
**Space group**: C2/m (12)
**E**: -5.5326 eV/atom
**Crystal system**: monoclinic

a b c (Å): 4.003 8.243 9.051
angles (deg): 101.73 102.78 90.00
Atoms (fractional coordinates):
Er 0.991 0.728 0.981
Er 0.675 0.111 0.349
Er 0.328 0.426 0.656
Er 0.325 0.889 0.651
Er 0.672 0.574 0.344
Er 0.009 0.272 0.019
Mg 0.500 0.000 0.000
Se 0.500 0.500 0.000
Se 0.163 0.836 0.327
Se 0.837 0.164 0.673
P 0.169 0.340 0.339
P 0.831 0.660 0.661